# 1
Entry from Alexandria via LeMat-Bulk: LiMgZn2 after structural relaxation (GGA-PBE).

abc: 6.1404 6.1404 6.1404
angles: 152.21 135.86 52.97
Fractional coordinates of all 4 atoms:
Li  0.0000  0.0000  0.0000
Mg  0.5000  0.5000  0.0000
Zn  0.2389  0.2389  0.0000
Zn  0.7611  0.7611  0.0000

Magnetization ... 0.0 μB per formula unit
E ... -5.31 eV/cell

# 2
Entry from Alexandria via LeMat-Bulk: Tb7Y3Er2 after structural relaxation (GGA-PBE).

abc: 11.6577 11.6577 11.6577
angles: 32.41 32.41 32.41
Fractional coordinates of all 12 atoms:
Tb  0.0000  0.0000  0.0000
Tb  0.0867  0.0867  0.5803
Tb  0.0867  0.5803  0.0867
Tb  0.4197  0.9132  0.9132
Tb  0.5803  0.0868  0.0868
Tb  0.9132  0.4197  0.9132
Tb  0.9132  0.9132  0.4197
Y  0.3490  0.3490  0.3490
Y  0.5000  0.5000  0.5000
Y  0.6510  0.6510  0.6510
Er  0.1663  0.1663  0.1663
Er  0.8337  0.8337  0.8337

Excess energy over the best structure of this formula in the dataset ... 189 meV/atom
Magnetization ... 0.0 μB per formula unit
E ... -57.63 eV/cell

# 3
Entry from Alexandria via LeMat-Bulk: PmHo3Cu2 after structural relaxation (GGA-PBE).

abc: 3.4810 3.4810 12.1719
angles: 90.00 90.00 90.00
Fractional coordinates of all 6 atoms:
Pm  0.0000  0.0000  0.0000
Ho  0.5000  0.5000  0.2209
Ho  0.5000  0.5000  0.5000
Ho  0.5000  0.5000  0.7791
Cu  0.0000  0.0000  0.3586
Cu  0.0000  0.0000  0.6414

Magnetization ... 0.0 μB per formula unit
E ... -27.65 eV/cell

# 4
Entry from Alexandria via LeMat-Bulk: LiIn2P after structural relaxation (GGA-PBE).

abc: 3.4855 3.4855 7.2311
angles: 90.00 90.00 90.00
Fractional coordinates of all 4 atoms:
Li  0.0000  0.0000  0.0000
In  0.5000  0.5000  0.2798
In  0.5000  0.5000  0.7202
P  0.0000  0.0000  0.5000

Magnetization ... 0.0 μB per formula unit
E ... -12.77 eV/cell

# 5
Entry from Alexandria via LeMat-Bulk: SbTe2PdAu after structural relaxation (GGA-PBE).

abc: 5.3282 5.3282 5.1239
angles: 90.00 90.00 90.00
Fractional coordinates of all 5 atoms:
Sb  0.0000  0.0000  0.0000
Te  0.0000  0.5000  0.5000
Te  0.5000  0.0000  0.5000
Pd  0.0000  0.0000  0.5000
Au  0.5000  0.5000  0.0000

Excess energy over the best structure of this formula in the dataset ... 0 meV/atom
Magnetization ... 0.0 μB per formula unit
E ... -16.38 eV/cell
Formation energy from raw total energies ... 0.499 eV/atom

# 6
Entry from Alexandria via LeMat-Bulk: Ti3PtO after structural relaxation (GGA-PBE).

abc: 4.4336 2.9281 10.8506
angles: 90.00 90.00 90.00
Fractional coordinates of all 10 atoms:
Ti  0.2500  0.0000  0.0579
Ti  0.2500  0.5000  0.3706
Ti  0.2500  0.5000  0.8169
Ti  0.7500  0.0000  0.9421
Ti  0.7500  0.5000  0.1831
Ti  0.7500  0.5000  0.6294
Pt  0.2500  0.0000  0.5902
Pt  0.7500  0.0000  0.4098
O  0.2500  0.5000  0.1877
O  0.7500  0.5000  0.8123

Magnetization ... 0.0 μB per formula unit
E ... -83.67 eV/cell
Formation energy from raw total energies ... -1.430 eV/atom

> The lowest E belongs to which entry?

Ti3PtO